Material: TlHgPb2
Method: DFT, PBE
State: relaxed

Unit cell a=3.4379 b=5.4447 c=6.4747 alpha=90.00 beta=97.19 gamma=90.00
With the nearest neighbours (Å) after each atom.
Fractional coordinates of all 4 atoms:
Tl 0.0000 0.0000 0.0000  2 Tl 3.44, 8 Pb 3.46-3.82, 2 Hg 3.47
Hg 0.5000 0.0000 0.5000  4 Pb 3.23, 2 Hg 3.44, 2 Tl 3.47
Pb 0.3268 0.5000 0.7411  2 Hg 3.23, 5 Pb 3.41-3.61, 2 Tl 3.46
Pb 0.6732 0.5000 0.2589  2 Hg 3.23, 5 Pb 3.41-3.61, 2 Tl 3.46

Calculated values
Total moment, μB per cell: 0.000
D(E_F), states/eV/f.u.: 1.446
Calculated total energy, eV/atom: -2.51
Space-group type: P2/m (10)
Formation enthalpy at 0 K, eV per atom: 0.02



Material: V2AsPt2
Method: DFT, PBE
State: relaxed

Unit cell a=7.6648 b=7.6648 c=2.7204 alpha=90.00 beta=90.00 gamma=90.00
With the nearest neighbours (Å) after each atom.
Fractional coordinates of all 10 atoms:
V 0.1655 0.3345 0.0000  6 Pt 2.61-2.65, 2 V 2.72
V 0.3345 0.8345 0.0000  6 Pt 2.61-2.65, 2 V 2.72
V 0.6655 0.1655 0.0000  6 Pt 2.61-2.65, 2 V 2.72
V 0.8345 0.6655 0.0000  6 Pt 2.61-2.65, 2 V 2.72
As 0.0000 0.0000 0.5000  2 As 2.72, 4 Pt 3.01
As 0.5000 0.5000 0.5000  2 As 2.72, 4 Pt 3.01
Pt 0.1295 0.6295 0.5000  6 V 2.61-2.65, 3 Pt 2.72-2.81
Pt 0.3705 0.1295 0.5000  6 V 2.61-2.65, 3 Pt 2.72-2.81
Pt 0.6295 0.8705 0.5000  6 V 2.61-2.65, 3 Pt 2.72-2.81
Pt 0.8705 0.3705 0.5000  6 V 2.61-2.65, 3 Pt 2.72-2.81

Calculated values
Total moment, μB per cell: 2.692
D(E_F), states/eV/f.u.: 5.545
Energy above the most stable polymorph in this dataset, eV per atom: 0.000
Calculated total energy, eV/atom: -7.19
Space-group type: P4/mbm (127)
Formation enthalpy at 0 K, eV per atom: -0.19



Material: Sc4AgOs
Method: DFT, PBE
State: relaxed

Unit cell a=3.2669 b=3.2669 c=11.7858 alpha=90.00 beta=90.00 gamma=90.00
With the nearest neighbours (Å) after each atom.
Fractional coordinates of all 6 atoms:
Sc 0.0000 0.0000 0.1296  4 Os 2.77, 1 Sc 3.05
Sc 0.0000 0.0000 0.8704  4 Os 2.77, 1 Sc 3.05
Sc 0.5000 0.5000 0.3451  4 Ag 2.94, 4 Sc 3.27
Sc 0.5000 0.5000 0.6549  4 Ag 2.94, 4 Sc 3.27
Ag 0.0000 0.0000 0.5000  8 Sc 2.94, 4 Ag 3.27
Os 0.5000 0.5000 0.0000  8 Sc 2.77

Calculated values
Total moment, μB per cell: 0.302
D(E_F), states/eV/f.u.: 6.192
Energy above the most stable polymorph in this dataset, eV per atom: 0.000
Calculated total energy, eV/atom: -6.80
Space-group type: P4/mmm (123)
Formation enthalpy at 0 K, eV per atom: -0.23



Material: NaThInPb
Method: DFT, PBE
State: relaxed

Unit cell a=5.4587 b=5.4587 c=5.4587 alpha=60.00 beta=60.00 gamma=60.00
With the nearest neighbours (Å) after each atom.
Fractional coordinates of all 4 atoms:
Na 0.0000 0.0000 0.0000  4 In 3.34, 4 Pb 3.34
Th 0.5000 0.5000 0.5000  4 In 3.34, 4 Pb 3.34
In 0.7500 0.7500 0.7500  4 Th 3.34, 4 Na 3.34
Pb 0.2500 0.2500 0.2500  4 Th 3.34, 4 Na 3.34

Calculated values
Total moment, μB per cell: 0.000
D(E_F), states/eV/f.u.: 3.330
Calculated total energy, eV/atom: -3.89
Space-group type: F-43m (216)
Formation enthalpy at 0 K, eV per atom: -0.09



Material: Pm3Er2ThSe6
Method: DFT, PBE
State: relaxed

Unit cell a=9.2377 b=9.2377 c=8.3689 alpha=101.93 beta=101.93 gamma=25.72
With the nearest neighbours (Å) after each atom.
Fractional coordinates of all 12 atoms:
Pm 0.0000 0.0000 0.0000  6 Se 2.91-3.01
Pm 0.3402 0.3402 0.6656  6 Se 2.93-3.02
Pm 0.6598 0.6598 0.3344  6 Se 2.93-3.02
Er 0.3346 0.3346 0.1687  6 Se 2.80-2.89
Er 0.6654 0.6654 0.8313  6 Se 2.80-2.89
Th 0.0000 0.0000 0.5000  6 Se 2.96-3.01
Se 0.1709 0.1709 0.0764  3 Er 2.89, 3 Pm 3.01-3.02
Se 0.1709 0.1709 0.5972  2 Er 2.86, 3 Pm 2.98-2.99, 1 Th 3.01
Se 0.4937 0.4937 0.2432  1 Er 2.80, 3 Pm 2.91-2.93, 2 Th 2.96
Se 0.5063 0.5063 0.7568  1 Er 2.80, 3 Pm 2.91-2.93, 2 Th 2.96
Se 0.8291 0.8291 0.4028  2 Er 2.86, 3 Pm 2.98-2.99, 1 Th 3.01
Se 0.8291 0.8291 0.9236  3 Er 2.89, 3 Pm 3.01-3.02

Calculated values
Total moment, μB per cell: 0.000
D(E_F), states/eV/f.u.: 6.380
Calculated total energy, eV/atom: -6.04
Formation energy from raw total energies, eV per formula unit: -20.81
Space-group type: C2/m (12)



Material: CaScAgCl6
Method: DFT, PBE
State: relaxed

Unit cell a=6.7523 b=6.7523 c=11.9775 alpha=90.00 beta=90.00 gamma=120.00
With the nearest neighbours (Å) after each atom.
Fractional coordinates of all 18 atoms:
Ca 0.3333 0.6667 0.2500  6 Cl 2.74
Ca 0.6667 0.3333 0.7500  6 Cl 2.74
Sc 0.3333 0.6667 0.7500  6 Cl 2.51
Sc 0.6667 0.3333 0.2500  6 Cl 2.51
Ag 0.0000 0.0000 0.0000  6 Cl 2.83
Ag 0.0000 0.0000 0.5000  6 Cl 2.83
Cl 0.0267 0.3630 0.6301  1 Sc 2.51, 1 Ca 2.74
Cl 0.0267 0.6637 0.8699  1 Sc 2.51, 1 Ca 2.74
Cl 0.3363 0.3630 0.8699  1 Sc 2.51, 1 Ca 2.74
Cl 0.3363 0.9733 0.6301  1 Sc 2.51, 1 Ca 2.74
Cl 0.3630 0.0267 0.1301  1 Sc 2.51, 1 Ca 2.74
Cl 0.3630 0.3363 0.3699  1 Sc 2.51, 1 Ca 2.74
Cl 0.6370 0.6637 0.6301  1 Sc 2.51, 1 Ca 2.74
Cl 0.6370 0.9733 0.8699  1 Sc 2.51, 1 Ca 2.74
Cl 0.6637 0.0267 0.3699  1 Sc 2.51, 1 Ca 2.74
Cl 0.6637 0.6370 0.1301  1 Sc 2.51, 1 Ca 2.74
Cl 0.9733 0.3363 0.1301  1 Sc 2.51, 1 Ca 2.74
Cl 0.9733 0.6370 0.3699  1 Sc 2.51, 1 Ca 2.74

Calculated values
Total moment, μB per cell: 0.000
D(E_F), states/eV/f.u.: 0.000
Calculated total energy, eV/atom: -4.29
Formation energy from raw total energies, eV per formula unit: -16.39
Space-group type: P-31c (163)



Number 3 is which compound? Sc4AgOs